4
Lattice="-2.2555 1.4015 0.8408 -0.6917 -2.2782 -1.4456 -0.1364 -4.7386 7.5329" Properties=species:S:1:pos:R:3 comment="ReAsW2 | Alexandria | GGA-PBE | optimized geometry" dos_ef_per_ev_cell=4.55 mass_density_g_cm3=16.3 magmom_total_mub_per_atom=0.00 formation_energy_ev_per_atom=0.46 pbc="T T T"
As -1.5077 -1.6230 1.5808
W -0.0690 -2.3958 3.8085
Re -1.5759 -3.9923 5.3473
W -0.1357 -4.7122 7.4909